Entry 1:
Compound: Zr3ScPb
Source: Alexandria
Functional: SCAN
Structure: PBEsol geometry

Energy, eV for the cell shown: -177.94
Formation energy, eV/atom: 0.83
Magnetic moment, μB/cell: 0.8
Calculated volume, Å³ per cell: 150.5

Lattice parameters (Å, degrees): 5.3195 5.3195 5.3195 90.00 90.00 90.00
Closest atoms and distances in Å follow each position.
Atoms (fractional coordinates):
1 Zr 0.5000 0.0000 0.0000  2 Pb 2.66
2 Zr 0.0000 0.5000 0.0000  2 Pb 2.66
3 Zr 0.0000 0.0000 0.5000  2 Pb 2.66
4 Sc 0.5000 0.5000 0.5000  12 Zr 3.76
5 Pb 0.0000 0.0000 0.0000  6 Zr 2.66

Entry 2:
Compound: Tc5C
Source: Alexandria
Functional: SCAN
Structure: PBEsol geometry

Energy, eV for the cell shown: -183.20
Formation energy, eV/atom: 0.37
Magnetic moment, μB/cell: 0.0
Calculated volume, Å³ per cell: 82.2

Lattice parameters (Å, degrees): 4.0813 4.0858 5.3344 90.00 112.49 90.00
Closest atoms and distances in Å follow each position.
Atoms (fractional coordinates):
1 Tc 0.7952 0.5000 0.5904  4 Tc 2.46-2.69
2 Tc 0.1021 0.5000 0.2043  2 C 2.05
3 Tc 0.4342 0.5000 0.8684  8 Tc 2.46-2.73
4 Tc 0.6180 0.0000 0.2359  2 C 2.06
5 Tc 0.2955 0.0000 0.5910  1 C 2.04
6 C 0.0883 0.0000 0.1766  5 Tc 2.04-2.06

Entry 3:
Compound: TiSnIN2
Source: Alexandria
Functional: SCAN
Structure: PBEsol geometry

Formation energy (no corrections), eV/f.u.: 5.868
Energy, eV for the cell shown: -101.41
Magnetic moment, μB/cell: 1.0
Calculated volume, Å³ per cell: 98.7

Lattice parameters (Å, degrees): 4.0941 4.0941 5.8870 90.00 90.00 90.00
Closest atoms and distances in Å follow each position.
Atoms (fractional coordinates):
1 Sn 0.0000 0.0000 0.0000  4 N 2.05
2 I 0.0000 0.0000 0.5000  4 Ti 2.89, 2 Sn 2.94
3 N 0.5000 0.0000 0.0000  2 Sn 2.05
4 N 0.0000 0.5000 0.0000  2 Sn 2.05
5 Ti 0.5000 0.5000 0.5000  4 I 2.89

Entry 4:
Compound: MgTiMoP3O12
Source: Alexandria
Functional: SCAN
Structure: PBEsol geometry

Formation energy (no corrections), eV/f.u.: -47.053
Energy, eV for the cell shown: -417.83
Magnetic moment, μB/cell: 6.0
Calculated volume, Å³ per cell: 446.8

Lattice parameters (Å, degrees): 8.5288 8.5288 8.5288 60.82 60.82 60.82
Closest atoms and distances in Å follow each position.
Atoms (fractional coordinates):
1 O 0.6756 0.4994 0.8946  1 P 1.52
2 O 0.1756 0.3946 0.9994  1 P 1.52
3 O 0.2584 0.0622 0.9026  1 P 1.56
4 O 0.9993 0.8156 0.6170  1 P 1.54
5 O 0.9026 0.2584 0.0622  1 P 1.56
6 O 0.0622 0.9026 0.2584  1 P 1.56
7 O 0.8156 0.6170 0.9993  1 P 1.54
8 O 0.4993 0.1170 0.3156  1 P 1.54
9 O 0.7584 0.4026 0.5622  1 P 1.56
10 O 0.4447 0.2453 0.5877  1 P 1.55
11 O 0.6170 0.9993 0.8156  1 P 1.54
12 O 0.3946 0.9994 0.1756  1 P 1.52
13 O 0.5622 0.7584 0.4026  1 P 1.56
14 O 0.3156 0.4993 0.1170  1 P 1.54
15 O 0.4994 0.8946 0.6756  1 P 1.52
16 O 0.0877 0.7453 0.9447  1 P 1.55
17 O 0.8946 0.6756 0.4994  1 P 1.52
18 O 0.1170 0.3156 0.4993  1 P 1.54
19 O 0.5877 0.4447 0.2453  1 P 1.55
20 O 0.7453 0.9447 0.0877  1 P 1.55
21 O 0.9447 0.0877 0.7453  1 P 1.55
22 O 0.4026 0.5622 0.7584  1 P 1.56
23 O 0.9994 0.1756 0.3946  1 P 1.52
24 O 0.2453 0.5877 0.4447  1 P 1.55
25 Mg 0.4994 0.4994 0.4994  6 O 2.13-2.19
26 Mg 0.9994 0.9994 0.9994  6 O 2.13-2.19
27 P 0.5483 0.9572 0.2456  4 O 1.52-1.56
28 P 0.9572 0.2456 0.5483  4 O 1.52-1.56
29 P 0.7456 0.4572 0.0483  4 O 1.52-1.56
30 P 0.0483 0.7456 0.4572  4 O 1.52-1.56
31 P 0.4572 0.0483 0.7456  4 O 1.52-1.56
32 P 0.2456 0.5483 0.9572  4 O 1.52-1.56
33 Mo 0.6413 0.6413 0.6413  6 O 1.98-2.07
34 Mo 0.1413 0.1413 0.1413  6 O 1.98-2.07
35 Ti 0.3559 0.3559 0.3559  6 O 1.90-2.08
36 Ti 0.8559 0.8559 0.8559  6 O 1.90-2.08

Entry 5:
Compound: BiH2Se
Source: Alexandria
Functional: SCAN
Structure: PBEsol geometry

Energy, eV for the cell shown: -102.29
Magnetic moment, μB/cell: 0.0
Calculated volume, Å³ per cell: 54.4

Lattice parameters (Å, degrees): 4.2539 4.2539 4.2539 60.00 60.00 60.00
Closest atoms and distances in Å follow each position.
Atoms (fractional coordinates):
1 H 0.2500 0.2500 0.2500  4 Se 2.61, 4 Bi 2.61
2 H 0.7500 0.7500 0.7500  4 Bi 2.61, 4 Se 2.61
3 Se 0.0000 0.0000 0.0000  8 H 2.61
4 Bi 0.5000 0.5000 0.5000  8 H 2.61

Entry 6:
Compound: CrGa2NiAs
Source: Alexandria
Functional: SCAN
Structure: PBEsol geometry

Energy, eV for the cell shown: -84.06
Formation energy, eV/atom: 0.68
Magnetic moment, μB/cell: 2.2
Calculated volume, Å³ per cell: 92.1

Lattice parameters (Å, degrees): 4.3915 4.5802 4.5802 90.00 90.00 90.00
Closest atoms and distances in Å follow each position.
Atoms (fractional coordinates):
1 Ni 0.5000 0.5000 0.5000  8 Ga 3.17, 4 As 3.24
2 Cr 0.0000 0.0000 0.0000  2 As 2.20, 4 Ga 2.29
3 As 0.5000 0.0000 0.0000  2 Cr 2.20
4 Ga 0.0000 0.0000 0.5000  2 Cr 2.29
5 Ga 0.0000 0.5000 0.0000  2 Cr 2.29

Entry 7:
Compound: LaCd2Si2
Source: Alexandria
Functional: SCAN
Structure: PBEsol geometry

Formation energy (no corrections), eV/f.u.: -1.655
Energy, eV for the cell shown: -125.62
Magnetic moment, μB/cell: 0.0
Calculated volume, Å³ per cell: 105.1

Lattice parameters (Å, degrees): 4.2466 4.2466 6.5585 108.89 108.89 90.00
Closest atoms and distances in Å follow each position.
Atoms (fractional coordinates):
1 Si 0.3990 0.3990 0.7979  1 Si 2.36
2 Si 0.6010 0.6010 0.2021  1 Si 2.36
3 La 0.0000 0.0000 0.0000  8 Si 3.23, 8 Cd 3.61
4 Cd 0.7500 0.2500 0.5000  4 Si 2.74, 4 Cd 3.00
5 Cd 0.2500 0.7500 0.5000  4 Si 2.74, 4 Cd 3.00

Entry 8:
Compound: LiTiPH2
Source: Alexandria
Functional: SCAN
Structure: PBEsol geometry

Energy, eV for the cell shown: -32.71
Magnetic moment, μB/cell: 2.3
Calculated volume, Å³ per cell: 65.7

Lattice parameters (Å, degrees): 3.6897 3.6897 4.8241 90.00 90.00 90.00
Closest atoms and distances in Å follow each position.
Atoms (fractional coordinates):
1 H 0.5000 0.0000 0.0000  2 P 1.84
2 H 0.0000 0.5000 0.0000  2 P 1.84
3 P 0.0000 0.0000 0.0000  4 H 1.84
4 Ti 0.0000 0.0000 0.5000  2 P 2.41, 4 Li 2.61
5 Li 0.5000 0.5000 0.5000  4 Ti 2.61

Entry 9:
Compound: Cr2RuCl
Source: Alexandria
Functional: SCAN
Structure: PBEsol geometry

Formation energy (no corrections), eV/f.u.: 3.991
Energy, eV for the cell shown: -75.58
Magnetic moment, μB/cell: 0.0
Calculated volume, Å³ per cell: 49.7

Lattice parameters (Å, degrees): 4.1268 4.1268 4.1268 60.00 60.00 60.00
Closest atoms and distances in Å follow each position.
Atoms (fractional coordinates):
1 Cr 0.7500 0.7500 0.7500  4 Cl 2.53, 4 Ru 2.53
2 Cr 0.2500 0.2500 0.2500  4 Ru 2.53, 4 Cl 2.53
3 Cl 0.0000 0.0000 0.0000  8 Cr 2.53
4 Ru 0.5000 0.5000 0.5000  8 Cr 2.53

Entry 10:
Compound: TmSeClO3
Source: Alexandria
Functional: SCAN
Structure: PBEsol geometry

Formation energy (no corrections), eV/f.u.: -13.579
Energy, eV for the cell shown: -448.64
Magnetic moment, μB/cell: 0.0
Calculated volume, Å³ per cell: 418.9

Lattice parameters (Å, degrees): 6.8271 7.0737 8.6733 90.00 90.00 90.00
Closest atoms and distances in Å follow each position.
Atoms (fractional coordinates):
1 O 0.9295 0.6428 0.0659  1 Se 1.74
2 O 0.0705 0.3572 0.9341  1 Se 1.74
3 O 0.4295 0.8572 0.5659  1 Se 1.74
4 O 0.7500 0.2498 0.1759  1 Se 1.69
5 O 0.7500 0.7498 0.3241  1 Se 1.69
6 O 0.9295 0.1428 0.4341  1 Se 1.74
7 O 0.0705 0.8572 0.5659  1 Se 1.74
8 O 0.5705 0.1428 0.4341  1 Se 1.74
9 O 0.4295 0.3572 0.9341  1 Se 1.74
10 O 0.2500 0.2502 0.6759  1 Se 1.69
11 O 0.2500 0.7502 0.8241  1 Se 1.69
12 O 0.5705 0.6428 0.0659  1 Se 1.74
13 Tm 0.7500 0.9001 0.5399  5 O 2.15-2.30
14 Tm 0.7500 0.4001 0.9601  5 O 2.15-2.30
15 Tm 0.2500 0.5999 0.0399  5 O 2.15-2.30
16 Tm 0.2500 0.0999 0.4601  5 O 2.15-2.30
17 Cl 0.7500 0.0594 0.8189  2 Tm 2.67-2.70
18 Cl 0.2500 0.9406 0.1811  2 Tm 2.67-2.70
19 Cl 0.2500 0.4406 0.3189  2 Tm 2.67-2.70
20 Cl 0.7500 0.5594 0.6811  2 Tm 2.67-2.70
21 Se 0.7500 0.2975 0.3668  3 O 1.69-1.74
22 Se 0.2500 0.2025 0.8668  3 O 1.69-1.74
23 Se 0.7500 0.7975 0.1332  3 O 1.69-1.74
24 Se 0.2500 0.7025 0.6332  3 O 1.69-1.74

Entry 11:
Compound: RePCl4
Source: Alexandria
Functional: SCAN
Structure: PBEsol geometry

Formation energy (no corrections), eV/f.u.: 10.404
Energy, eV for the cell shown: -103.00
Magnetic moment, μB/cell: 1.5
Calculated volume, Å³ per cell: 115.4

Lattice parameters (Å, degrees): 5.4646 5.4646 5.4646 60.00 60.00 60.00
Closest atoms and distances in Å follow each position.
Atoms (fractional coordinates):
1 Cl 0.3741 0.3741 0.3741  6 Cl 2.71-2.75
2 Cl 0.3741 0.8776 0.3741  6 Cl 2.71-2.75
3 Cl 0.8776 0.3741 0.3741  6 Cl 2.71-2.75
4 Cl 0.3741 0.3741 0.8776  6 Cl 2.71-2.75
5 P 0.7500 0.7500 0.7500  12 Cl 3.21, 4 Re 3.35
6 Re 0.0000 0.0000 0.0000  12 Cl 3.20, 4 P 3.35

Entry 12:
Compound: LaGaBi2
Source: Alexandria
Functional: SCAN
Structure: PBEsol geometry

Energy, eV for the cell shown: -1315.59
Formation energy, eV/atom: -0.66
Magnetic moment, μB/cell: 0.0
Calculated volume, Å³ per cell: 686.8

Lattice parameters (Å, degrees): 4.3611 13.4852 13.4852 120.00 90.00 90.00
Closest atoms and distances in Å follow each position.
Atoms (fractional coordinates):
1 La 0.5000 0.7744 0.2256  8 Bi 3.33-3.42, 2 Ga 3.37
2 La 0.5000 0.2256 0.7744  8 Bi 3.33-3.42, 2 Ga 3.37
3 La 0.5000 0.4511 0.2256  8 Bi 3.33-3.42, 2 Ga 3.37
4 La 0.5000 0.5489 0.7744  8 Bi 3.33-3.42, 2 Ga 3.37
5 La 0.5000 0.2256 0.4511  8 Bi 3.33-3.42, 2 Ga 3.37
6 La 0.5000 0.7744 0.5489  8 Bi 3.33-3.42, 2 Ga 3.37
7 Ga 0.5000 0.1822 0.1822  2 Ga 2.46
8 Ga 0.5000 0.0000 0.1822  2 Ga 2.46
9 Ga 0.5000 0.8178 0.8178  2 Ga 2.46
10 Ga 0.5000 0.1822 0.0000  2 Ga 2.46
11 Ga 0.5000 0.0000 0.8178  2 Ga 2.46
12 Ga 0.5000 0.8178 0.0000  2 Ga 2.46
13 Bi 0.0000 0.6667 0.3333  6 La 3.33
14 Bi 0.0000 0.3249 0.0000  2 Ga 2.91, 2 Bi 3.21
15 Bi 0.0000 0.6751 0.6751  2 Ga 2.91, 2 Bi 3.21
16 Bi 0.0000 0.3249 0.3249  2 Ga 2.91, 2 Bi 3.21
17 Bi 0.0000 0.0000 0.0000  12 Ga 3.29
18 Bi 0.5000 0.5000 0.5000  4 Bi 3.21, 4 La 3.42
19 Bi 0.0000 0.0000 0.6751  2 Ga 2.91, 2 Bi 3.21
20 Bi 0.0000 0.0000 0.3249  2 Ga 2.91, 2 Bi 3.21
21 Bi 0.5000 0.5000 0.0000  4 Bi 3.21, 4 La 3.42
22 Bi 0.0000 0.3333 0.6667  6 La 3.33
23 Bi 0.5000 0.0000 0.5000  4 Bi 3.21, 4 La 3.42
24 Bi 0.0000 0.6751 0.0000  2 Ga 2.91, 2 Bi 3.21

Question: Which of these has the highest calculated volume?
Answer: LaGaBi2

Question: Look up the magnetic moment of the third one.
Answer: 1.0 μB/cell

Question: The lowest calculated volume belongs to which entry?
Answer: Cr2RuCl

Question: Which of these has the lowest energy?
Answer: LaGaBi2